Entry 1:
Computed, not measured: a relaxed MgPa2Sb4 crystal at the PBE level of DFT.

The space group is P-4m2 (No. 115) and the conventional cell measures 4.3046, 4.3046 and 10.7110 Å, with angles of 90.00, 90.00 and 90.00 degrees. The inequivalent atoms are Mg at (0.0000, 0.0000, 0.0000), Pa at (0.0000, 0.5000, 0.7222), Sb at (0.0000, 0.0000, 0.5000), Sb at (0.0000, 0.5000, 0.1832) and Sb at (0.5000, 0.5000, 0.5000).

The calculation puts the uncorrected formation energy at -8.39 kcal/mol of atoms. The density of states at the Fermi level comes out at 11.4 states/eV/f.u. The total magnetization is 2.28 μB/cell. As for the calculated total energy: -5.6604 eV/atom.

---

Entry 2:
Computed, not measured: a relaxed MnTeS2 crystal at the PBE level of DFT.

The space group is P-1 (No. 2) and the conventional cell measures 3.2765, 7.1357 and 7.4422 Å, with angles of 94.16, 90.00 and 90.26 degrees. The inequivalent atoms are Mn at (0.0000, 0.0000, 0.0000), Mn at (0.5000, 0.0000, 0.5000), Te at (0.0033, 0.3381, 0.1664), S at (0.0023, 0.2268, 0.4804) and S at (0.4990, 0.9070, 0.1912).

The calculation puts the uncorrected formation energy at -7.37 kcal/mol of atoms. The density of states at the Fermi level comes out at 2.2 states/eV/f.u. The total magnetization is 4.57 μB/cell. As for the calculated total energy: -5.4610 eV/atom.

---

Entry 3:
Computed, not measured: a relaxed Pm2Y4ThSc crystal at the PBE level of DFT.

The space group is P4/mmm (No. 123) and the conventional cell measures 5.8591, 5.8591 and 7.4511 Å, with angles of 90.00, 90.00 and 90.00 degrees. The inequivalent atoms are Pm at (0.0000, 0.0000, 0.0000), Pm at (0.5000, 0.5000, 0.0000), Y at (0.0000, 0.5000, 0.2581), Th at (0.0000, 0.0000, 0.5000) and Sc at (0.5000, 0.5000, 0.5000).

The density of states at the Fermi level comes out at 15.9 states/eV/f.u. The total magnetization is 0.00 μB/cell. The formation energy is 134.2 meV per atom. As for the calculated total energy: -6.0044 eV/atom.

---

What did the second record say?
Computed, not measured: a relaxed MnTeS2 crystal at the PBE level of DFT.

The space group is P-1 (No. 2) and the conventional cell measures 3.2765, 7.1357 and 7.4422 Å, with angles of 94.16, 90.00 and 90.26 degrees. The inequivalent atoms are Mn at (0.0000, 0.0000, 0.0000), Mn at (0.5000, 0.0000, 0.5000), Te at (0.0033, 0.3381, 0.1664), S at (0.0023, 0.2268, 0.4804) and S at (0.4990, 0.9070, 0.1912).

The calculation puts the uncorrected formation energy at -7.37 kcal/mol of atoms. The density of states at the Fermi level comes out at 2.2 states/eV/f.u. The total magnetization is 4.57 μB/cell. As for the calculated total energy: -5.4610 eV/atom.

---

Which value of total magnetization does entry 3 give? 0.00 μB/cell

---

What is the calculated total energy in the third record? -6.0044 eV/atom